[1]
Density functional theory data (SCAN) for La2YHg at its PBEsol-relaxed geometry.

Values from the calculation:
Space-group type   P4mm
Total DFT energy (no corrections)   -45.91 eV per atom
Energy relative to the elements   -0.356 eV per atom
Size of the total moment   0.00 Bohr magnetons per cell

extended XYZ file:
```
4
Lattice="-0.811 -2.623 2.454 3.053 -1.829 -0.946 4.447 4.292 6.057" Properties=species:S:1:pos:R:3 pbc="T T T"
La 2.264 -1.123 2.311
La 4.336 4.185 5.906
Hg 4.381 0.920 5.194
Y 2.379 2.296 3.240
```


[2]
Density functional theory data (SCAN) for La2YHg at its PBEsol-relaxed geometry.

Values from the calculation:
Space-group type   I4/mmm
Total DFT energy (no corrections)   -45.86 eV per atom
Energy relative to the elements   -0.310 eV per atom
Size of the total moment   0.00 Bohr magnetons per cell

extended XYZ file:
```
4
Lattice="-2.993 2.044 -3.013 0.177 -3.814 -2.764 -2.507 -1.127 5.413" Properties=species:S:1:pos:R:3 pbc="T T T"
Y -1.408 -0.885 -2.888
La -3.454 0.017 -0.244
La -1.869 -2.913 -0.120
Hg 0.000 0.000 0.000
```


[3]
Density functional theory data (SCAN) for La2YHg at its PBEsol-relaxed geometry.

Values from the calculation:
Space-group type   Immm
Total DFT energy (no corrections)   -45.90 eV per atom
Energy relative to the elements   -0.344 eV per atom
Size of the total moment   0.00 Bohr magnetons per cell

extended XYZ file:
```
4
Lattice="3.796 0.000 0.000 0.000 5.238 0.000 -1.898 -2.619 6.061" Properties=species:S:1:pos:R:3 pbc="T T T"
La 1.898 2.619 2.597
La 0.000 0.000 3.464
Y 1.898 0.000 0.000
Hg 0.000 2.619 0.000
```


Question: Which value of total DFT energy (no corrections) does entry 1 give?
Answer: -45.91 eV per atom